CePm8 after structural relaxation, computed with PBE. Values from VASP.

Geometry as Quantum ESPRESSO input:
```
&SYSTEM
  ibrav = 0, nat = 9, ntyp = 2
/
ATOMIC_SPECIES
Ce 140.12 Ce.upf
Pm 145.00 Pm.upf
ATOMIC_POSITIONS crystal
Ce 0.0000 0.0000 0.0000
Pm 0.0000 0.3314 0.3314
Pm 0.0000 0.6686 0.6686
Pm 0.3314 0.0000 0.3314
Pm 0.3358 0.3358 0.6715
Pm 0.3358 0.6642 0.0000
Pm 0.6642 0.3358 0.0000
Pm 0.6642 0.6642 0.3285
Pm 0.6686 0.0000 0.6686
CELL_PARAMETERS angstrom
-5.4521 5.4521 2.5786
5.4521 -5.4521 2.5786
5.4521 5.4521 -2.5786
```

Output
- DFT formation energy: 42 meV per atom
- M_tot: 1.0 Bohr magnetons per cell

CePm3 after structural relaxation, computed with PBE. Values from VASP.

Geometry as Quantum ESPRESSO input:
```
&SYSTEM
  ibrav = 0, nat = 4, ntyp = 2
/
ATOMIC_SPECIES
Ce 140.12 Ce.upf
Pm 145.00 Pm.upf
ATOMIC_POSITIONS crystal
Ce 0.0000 0.0000 0.0000
Pm 0.2500 0.7500 0.5000
Pm 0.5000 0.5000 0.0000
Pm 0.7500 0.2500 0.5000
CELL_PARAMETERS angstrom
-2.5497 2.5497 5.1603
2.5497 -2.5497 5.1603
2.5497 2.5497 -5.1603
```

Output
- Offset from the most stable computed form: 0.009 eV/atom
- DFT formation energy: 88 meV per atom
- M_tot: 1.2 Bohr magnetons per cell

Ce3Pm after structural relaxation, computed with PBE. Values from VASP.

Geometry as Quantum ESPRESSO input:
```
&SYSTEM
  ibrav = 0, nat = 4, ntyp = 2
/
ATOMIC_SPECIES
Ce 140.12 Ce.upf
Pm 145.00 Pm.upf
ATOMIC_POSITIONS crystal
Ce 0.0000 0.0000 0.5000
Ce 0.0000 0.5000 0.0000
Ce 0.5000 0.0000 0.0000
Pm 0.5000 0.5000 0.5000
CELL_PARAMETERS angstrom
4.8512 0.0000 0.0000
0.0000 4.8512 0.0000
0.0000 0.0000 4.8512
```

Output
- Offset from the most stable computed form: 0.001 eV/atom
- DFT formation energy: 108 meV per atom
- M_tot: 0.0 Bohr magnetons per cell

Ce3Pm after structural relaxation, computed with PBE. Values from VASP.

Geometry as Quantum ESPRESSO input:
```
&SYSTEM
  ibrav = 0, nat = 4, ntyp = 2
/
ATOMIC_SPECIES
Ce 140.12 Ce.upf
Pm 145.00 Pm.upf
ATOMIC_POSITIONS crystal
Ce 0.0000 0.0000 0.0000
Ce 0.2500 0.7500 0.5000
Ce 0.7500 0.2500 0.5000
Pm 0.5000 0.5000 0.0000
CELL_PARAMETERS angstrom
-2.4195 2.4195 4.8803
2.4195 -2.4195 4.8803
2.4195 2.4195 -4.8803
```

Output
- Offset from the most stable computed form: 0.000 eV/atom
- DFT formation energy: 108 meV per atom
- M_tot: 0.0 Bohr magnetons per cell

CePm3 after structural relaxation, computed with PBE. Values from VASP.

Geometry as Quantum ESPRESSO input:
```
&SYSTEM
  ibrav = 0, nat = 8, ntyp = 2
/
ATOMIC_SPECIES
Ce 140.12 Ce.upf
Pm 145.00 Pm.upf
ATOMIC_POSITIONS crystal
Ce 0.3333 0.6667 0.2500
Ce 0.6667 0.3333 0.7500
Pm 0.1676 0.3352 0.7500
Pm 0.1676 0.8324 0.7500
Pm 0.3352 0.1676 0.2500
Pm 0.6648 0.8324 0.7500
Pm 0.8324 0.1676 0.2500
Pm 0.8324 0.6648 0.2500
CELL_PARAMETERS angstrom
7.3095 0.0000 0.0000
-3.6547 6.3302 0.0000
0.0000 0.0000 5.8572
```

Output
- Offset from the most stable computed form: 0.018 eV/atom
- DFT formation energy: 98 meV per atom
- M_tot: 1.7 Bohr magnetons per cell

CePm5 after structural relaxation, computed with PBE. Values from VASP.

Geometry as Quantum ESPRESSO input:
```
&SYSTEM
  ibrav = 0, nat = 6, ntyp = 2
/
ATOMIC_SPECIES
Ce 140.12 Ce.upf
Pm 145.00 Pm.upf
ATOMIC_POSITIONS crystal
Ce 0.0000 0.0000 0.0000
Pm 0.1637 0.8363 0.5000
Pm 0.3351 0.6649 0.0000
Pm 0.5000 0.5000 0.5000
Pm 0.6649 0.3351 0.0000
Pm 0.8363 0.1637 0.5000
CELL_PARAMETERS angstrom
2.5676 -7.6938 0.0000
2.5676 7.6938 0.0000
0.0000 0.0000 5.1347
```

Output
- DFT formation energy: 57 meV per atom
- M_tot: 1.1 Bohr magnetons per cell